No. 1
Computed, not measured: crystalline Ta2VTe5 at its relaxed geometry at the PBE level of DFT.

D(E_F): 0.51 states/eV per atom
E: -97.6 eV/cell
formation energy without anion corrections: -33 meV per atom
V: 206.6 Å³/f.u.
symmetry: Cmcm (63)

Unit cell a=6.9984 b=6.9984 c=11.9368 alpha=90.00 beta=90.00 gamma=135.02
Last column: nearest neighbours and their distance in Å.
Sites, in units of the cell vectors:
Ta 0.1501 0.8499 0.6212  6 Te 2.74-3.06
Ta 0.1501 0.8499 0.8788  6 Te 2.74-3.06
Ta 0.8499 0.1501 0.1212  6 Te 2.74-3.06
Ta 0.8499 0.1501 0.3788  6 Te 2.74-3.06
V 0.2349 0.7651 0.2500  6 Te 2.69-2.81
V 0.7651 0.2349 0.7500  6 Te 2.69-2.81
Te 0.0613 0.9387 0.1125  2 Ta 2.74-3.02, 1 V 2.78
Te 0.0613 0.9387 0.3875  2 Ta 2.74-3.02, 1 V 2.78
Te 0.3276 0.6724 0.0479  1 V 2.69, 2 Ta 2.83
Te 0.3276 0.6724 0.4521  1 V 2.69, 2 Ta 2.83
Te 0.3299 0.6701 0.7500  2 Ta 2.79, 2 V 2.81
Te 0.6701 0.3299 0.2500  2 Ta 2.79, 2 V 2.81
Te 0.6724 0.3276 0.5479  1 V 2.69, 2 Ta 2.83
Te 0.6724 0.3276 0.9521  1 V 2.69, 2 Ta 2.83
Te 0.9387 0.0613 0.6125  2 Ta 2.74-3.02, 1 V 2.78
Te 0.9387 0.0613 0.8875  2 Ta 2.74-3.02, 1 V 2.78

---

No. 2
Computed, not measured: crystalline ScFe2Mo at its relaxed geometry at the PBE level of DFT.

D(E_F): 0.92 states/eV per atom
E: -33.7 eV/cell
energy of formation: 0.35 eV/f.u.
V: 59.7 Å³/f.u.
symmetry: P4mm (99)

Unit cell a=3.0197 b=3.0197 c=6.5525 alpha=90.00 beta=90.00 gamma=90.00
Last column: nearest neighbours and their distance in Å.
Sites, in units of the cell vectors:
Sc 0.0000 0.0000 0.0000  5 Fe 2.79-3.10, 4 Mo 2.94, 4 Sc 3.02
Fe 0.0000 0.0000 0.4736  4 Fe 2.51, 4 Mo 2.57
Fe 0.5000 0.5000 0.2737  4 Fe 2.51, 1 Mo 2.73, 4 Sc 2.79
Mo 0.5000 0.5000 0.6910  5 Fe 2.57-2.73